# Be2TeMoPt (PBE, relaxed)
data_Be2TeMoPt
_symmetry_space_group_name_H-M 'P 4/m m m'
_symmetry_Int_Tables_number 123
_symmetry_space_group_name_Hall '-P 4 2'
_cell_length_a 4.4571
_cell_length_b 4.4571
_cell_length_c 5.1195
_cell_angle_alpha 90.00
_cell_angle_beta 90.00
_cell_angle_gamma 90.00
loop_
_atom_site_label
_atom_site_fract_x
_atom_site_fract_y
_atom_site_fract_z
Be1 0.0000 0.5000 0.0000
Te1 0.0000 0.0000 0.0000
Mo1 0.5000 0.5000 0.5000
Pt1 0.0000 0.0000 0.5000
# V ... 20.3 A^3/atom
# Total magnetic moment ... 3.31 μB/f.u.
# Density of states at the Fermi level ... 2.7 states/eV/cell
# E_form (uncorrected) ... 1536.1 meV/atom

# Na3Cd2Hg3 (PBE, relaxed)
data_Na3Cd2Hg3
_symmetry_space_group_name_H-M 'C m c m'
_symmetry_Int_Tables_number 63
_symmetry_space_group_name_Hall '-C 2c 2'
_cell_length_a 4.8936
_cell_length_b 11.4745
_cell_length_c 15.5017
_cell_angle_alpha 90.00
_cell_angle_beta 90.00
_cell_angle_gamma 90.00
loop_
_atom_site_label
_atom_site_fract_x
_atom_site_fract_y
_atom_site_fract_z
Na1 0.0000 0.0696 0.1073
Na2 0.0000 0.3322 0.2500
Cd1 0.0000 0.2303 0.5975
Hg1 0.0000 0.3875 0.7500
Hg2 0.0000 0.3965 0.0556
# V ... 27.2 A^3/atom
# Total magnetic moment ... 0.00 μB/f.u.
# Energy above the lowest structure with this stoichiometry ... 5 meV per atom
# Density of states at the Fermi level ... 13.9 states/eV/cell

# Ga5H (PBE, relaxed)
data_Ga5H
_symmetry_space_group_name_H-M 'C m m m'
_symmetry_Int_Tables_number 65
_symmetry_space_group_name_Hall '-C 2 2'
_cell_length_a 4.2484
_cell_length_b 11.1821
_cell_length_c 4.1702
_cell_angle_alpha 90.00
_cell_angle_beta 90.00
_cell_angle_gamma 90.00
loop_
_atom_site_label
_atom_site_fract_x
_atom_site_fract_y
_atom_site_fract_z
Ga1 0.0000 0.0000 0.0000
Ga2 0.0000 0.1589 0.5000
Ga3 0.0000 0.3558 0.0000
H1 0.0000 0.5000 0.5000
# V ... 16.5 A^3/atom
# Total magnetic moment ... 0.00 μB/f.u.
# Energy above the lowest structure with this stoichiometry ... 146 meV per atom
# Density of states at the Fermi level ... 3.8 states/eV/cell

# MnGeOs3 (PBE, relaxed)
data_MnGeOs3
_symmetry_space_group_name_H-M 'P m -3 m'
_symmetry_Int_Tables_number 221
_symmetry_space_group_name_Hall '-P 4 2 3'
_cell_length_a 4.4566
_cell_length_b 4.4566
_cell_length_c 4.4566
_cell_angle_alpha 90.00
_cell_angle_beta 90.00
_cell_angle_gamma 90.00
loop_
_atom_site_label
_atom_site_fract_x
_atom_site_fract_y
_atom_site_fract_z
Mn1 0.0000 0.0000 0.0000
Ge1 0.5000 0.5000 0.5000
Os1 0.0000 0.5000 0.5000
# V ... 17.7 A^3/atom
# Total magnetic moment ... 0.28 μB/f.u.
# Total DFT energy (no corrections) ... -7.412 eV per atom
# Density of states at the Fermi level ... 7.1 states/eV/cell